A relaxed Ba3Pa4S12 crystal, computed with PBE-GGA.

DFT total energy, eV for the cell shown: -126.81
Magnetization, Bohr magnetons per cell: 2.2
V, Å³/cell: 576

Lattice parameters (Å, degrees): 9.079 9.079 9.079 109.47 109.47 109.47
Element x y z (fractional)
Pa 0.000 0.500 0.000
Pa 0.500 0.000 0.000
Pa 0.500 0.500 0.500
Pa 0.000 0.000 0.500
S 0.517 0.227 0.290
S 0.063 0.773 0.290
S 0.290 0.517 0.227
S 0.937 0.227 0.710
S 0.773 0.290 0.063
S 0.227 0.290 0.517
S 0.483 0.773 0.710
S 0.773 0.710 0.483
S 0.227 0.710 0.937
S 0.710 0.483 0.773
S 0.290 0.063 0.773
S 0.710 0.937 0.227
Ba 0.500 0.000 0.500
Ba 0.000 0.500 0.500
Ba 0.500 0.500 0.000